The following is a DFT calculation (GGA-PBE) of crystalline RbSr2Cl at its relaxed geometry.

For the relative energy among the computed polymorphs, the calculation gives 0.000 eV per atom. For the uncorrected formation energy, the calculation gives -649 meV per atom. The uncorrected energy is -35.1 eV for the cell shown. The spin magnetization comes out at 0.00 μB per cell.

It has space group I-42d (No. 122), with a = 10.2533 Å, b = 10.2533 Å, c = 8.0625 Å, α = 90.00°, β = 90.00° and γ = 90.00°. Symmetry generates all atoms from Rb at (0.0000, 0.0000, 0.0000), Sr at (0.1356, 0.2500, 0.6250) and Cl at (0.0000, 0.0000, 0.5000).

The following is a DFT calculation (GGA-PBE) of crystalline Rb3HoBi2O6 at its relaxed geometry.

For the uncorrected formation energy, the calculation gives -1754 meV per atom. The uncorrected energy is -132.1 eV for the cell shown. The spin magnetization comes out at 0.00 μB per cell.

It has space group C2/m (No. 12), with a = 6.2404 Å, b = 10.8066 Å, c = 6.8949 Å, α = 90.00°, β = 107.56° and γ = 90.00°. Symmetry generates all atoms from Rb at (0.0000, 0.0000, 0.0000), Rb at (0.0000, 0.3315, 0.0000), Ho at (0.0000, 0.5000, 0.5000), Bi at (0.0000, 0.1666, 0.5000), O at (0.2204, 0.3412, 0.6847) and O at (0.2443, 0.0000, 0.6854).

The following is a DFT calculation (GGA-PBE) of crystalline Tc2HgRh at its relaxed geometry.

The uncorrected energy is -54.0 eV for the cell shown. The calculation puts the energy of formation from the pure elements at 0.352 eV per atom. The spin magnetization comes out at 0.00 μB per cell.

It has space group C2/m (No. 12), with a = 9.4858 Å, b = 2.8320 Å, c = 4.8018 Å, α = 90.00°, β = 100.65° and γ = 90.00°. Symmetry generates all atoms from Tc at (0.2407, 0.0000, 0.2252), Hg at (0.0000, 0.0000, 0.5000) and Rh at (0.0000, 0.5000, 0.0000).

The following is a DFT calculation (GGA-PBE) of crystalline Tb2Er5Sc12 at its relaxed geometry.

The uncorrected energy is -211.0 eV for the cell shown. The calculation puts the energy of formation from the pure elements at 0.135 eV per atom. The spin magnetization comes out at 0.00 μB per cell.

It has space group C2/m (No. 12), with a = 14.6544 Å, b = 8.6429 Å, c = 8.1980 Å, α = 90.00°, β = 93.08° and γ = 90.00°. Symmetry generates all atoms from Tb at (0.0000, 0.1795, 0.0000), Er at (0.0000, 0.5000, 0.5000), Er at (0.2117, 0.0000, 0.0150), Er at (0.2345, 0.5000, 0.5747), Sc at (0.0527, 0.0000, 0.3374), Sc at (0.0714, 0.5000, 0.8708), Sc at (0.1296, 0.1888, 0.6641) and Sc at (0.1480, 0.3224, 0.2479).

The following is a DFT calculation (GGA-PBE) of crystalline Ti2InPd3 at its relaxed geometry.

For the relative energy among the computed polymorphs, the calculation gives 0.000 eV per atom. The uncorrected energy is -74.7 eV for the cell shown. The calculation puts the energy of formation from the pure elements at -0.538 eV per atom. The spin magnetization comes out at 0.00 μB per cell.

It has space group P-3m1 (No. 164), with a = 4.5275 Å, b = 4.5275 Å, c = 11.2452 Å, α = 90.00°, β = 90.00° and γ = 120.00°. Symmetry generates all atoms from Ti at (0.0000, 0.0000, 0.0000), Ti at (0.0000, 0.0000, 0.5000), Ti at (0.3333, 0.6667, 0.1734), In at (0.3333, 0.6667, 0.6732), Pd at (0.0000, 0.0000, 0.2315), Pd at (0.3333, 0.6667, 0.4264) and Pd at (0.3333, 0.6667, 0.9387).

The following is a DFT calculation (GGA-PBE) of crystalline Ac2PuAg3Sn4 at its relaxed geometry.

The uncorrected energy is -50.7 eV for the cell shown. The calculation puts the energy of formation from the pure elements at -0.357 eV per atom. The spin magnetization comes out at 5.48 μB per cell.

It has space group P-4m2 (No. 115), with a = 4.7354 Å, b = 4.7354 Å, c = 12.5263 Å, α = 90.00°, β = 90.00° and γ = 90.00°. Symmetry generates all atoms from Ac at (0.0000, 0.5000, 0.2368), Pu at (0.0000, 0.0000, 0.5000), Ag at (0.0000, 0.5000, 0.8713), Ag at (0.5000, 0.5000, 0.5000), Sn at (0.0000, 0.0000, 0.0000), Sn at (0.0000, 0.5000, 0.6541) and Sn at (0.5000, 0.5000, 0.0000).